--- one ---
The following is a DFT calculation (PBE-GGA) of a relaxed SrCa2Ir2 crystal.

The space group is I4/mmm, No. 139. The value obtained for the volume is 26.41 Å³/atom. The crystal system is tetragonal. As for the size of the total moment: 0.000 μB/atom.

Cell: 4.6496 4.6496 6.9363 Å, 70.42 70.42 90.00°
Closest atoms and distances in Å follow each position.
Fractional coordinates of all 5 atoms:
Sr1 0.0000 0.0000 0.0000  8 Ir 3.52, 8 Ca 3.84
Ca1 0.7500 0.2500 0.5000  4 Ir 2.94, 4 Ca 3.29
Ca2 0.2500 0.7500 0.5000  4 Ir 2.94, 4 Ca 3.29
Ir1 0.3977 0.3977 0.2045  1 Ir 2.50
Ir2 0.6023 0.6023 0.7955  1 Ir 2.50

---

--- two ---
The following is a DFT calculation (PBE-GGA) of a relaxed SrCa2Ir2 crystal.

The space group is P4/mbm, No. 127. The value obtained for the volume is 23.70 Å³/atom. The crystal system is tetragonal. As for the size of the total moment: 0.000 μB/atom.

Cell: 8.4462 8.4462 3.3220 Å, 90.00 90.00 90.00°
Closest atoms and distances in Å follow each position.
Fractional coordinates of all 10 atoms:
Sr1 0.0000 0.0000 0.0000  4 Ir 3.16, 2 Sr 3.32
Sr2 0.5000 0.5000 0.0000  4 Ir 3.16, 2 Sr 3.32
Ca1 0.1334 0.6334 0.5000  6 Ir 2.93-3.03, 1 Ca 3.19
Ca2 0.6334 0.8666 0.5000  6 Ir 2.93-3.03, 1 Ca 3.19
Ca3 0.8666 0.3666 0.5000  6 Ir 2.93-3.03, 1 Ca 3.19
Ca4 0.3666 0.1334 0.5000  6 Ir 2.93-3.03, 1 Ca 3.19
Ir1 0.3353 0.8353 0.0000  6 Ca 2.93-3.03, 2 Sr 3.16
Ir2 0.8353 0.6647 0.0000  6 Ca 2.93-3.03, 2 Sr 3.16
Ir3 0.6647 0.1647 0.0000  6 Ca 2.93-3.03, 2 Sr 3.16
Ir4 0.1647 0.3353 0.0000  6 Ca 2.93-3.03, 2 Sr 3.16

---

In meV/atom, relative to the most stable structure: one 15; two 0.

---

--- one ---
The following is a DFT calculation (PBE-GGA) of a relaxed CaTa2Ir crystal.

The space group is Fm-3m, No. 225. The value obtained for the volume is 17.93 Å³/atom. The crystal system is cubic. As for the size of the total moment: 0.000 μB/atom.

Cell: 4.6632 4.6632 4.6632 Å, 60.00 60.00 60.00°
Closest atoms and distances in Å follow each position.
Fractional coordinates of all 4 atoms:
Ca1 0.0000 0.0000 0.0000  8 Ta 2.86
Ir1 0.5000 0.5000 0.5000  8 Ta 2.86
Ta1 0.2500 0.2500 0.2500  4 Ir 2.86, 4 Ca 2.86
Ta2 0.7500 0.7500 0.7500  4 Ir 2.86, 4 Ca 2.86

---

--- two ---
The following is a DFT calculation (PBE-GGA) of a relaxed CaTa2Ir crystal.

The space group is Immm, No. 71. The value obtained for the volume is 19.80 Å³/atom. The crystal system is orthorhombic. As for the size of the total moment: 0.000 μB/atom.

Cell: 6.0839 6.0839 4.9278 Å, 66.11 66.11 28.56°
Closest atoms and distances in Å follow each position.
Fractional coordinates of all 4 atoms:
Ca1 0.7500 0.7500 0.7500  4 Ir 2.88, 2 Ca 3.00
Ir1 0.2500 0.2500 0.2500  4 Ta 2.73, 4 Ca 2.88, 2 Ir 3.00
Ta1 0.9625 0.9625 0.0375  2 Ir 2.73, 6 Ta 2.99-3.00
Ta2 0.5375 0.5375 0.4625  2 Ir 2.73, 6 Ta 2.99-3.00

---

In meV/atom, relative to the most stable structure: one 332; two 0.